Computed, not measured: a relaxed structure of Sc6Si7Ni16 at the PBE level of DFT.

a b c (Å): 8.070 8.070 8.070
angles (deg): 60.00 60.00 60.00
Element x y z (fractional)
Sc 0.207 0.207 0.793
Sc 0.207 0.793 0.207
Sc 0.207 0.793 0.793
Sc 0.793 0.207 0.207
Sc 0.793 0.207 0.793
Sc 0.793 0.793 0.207
Si 0.000 0.000 0.500
Si 0.000 0.500 0.000
Si 0.000 0.500 0.500
Si 0.500 0.000 0.000
Si 0.500 0.000 0.500
Si 0.500 0.500 0.000
Si 0.500 0.500 0.500
Ni 0.143 0.619 0.619
Ni 0.169 0.169 0.169
Ni 0.169 0.169 0.494
Ni 0.169 0.494 0.169
Ni 0.381 0.381 0.381
Ni 0.381 0.381 0.857
Ni 0.381 0.857 0.381
Ni 0.494 0.169 0.169
Ni 0.506 0.831 0.831
Ni 0.619 0.143 0.619
Ni 0.619 0.619 0.143
Ni 0.619 0.619 0.619
Ni 0.831 0.506 0.831
Ni 0.831 0.831 0.506
Ni 0.831 0.831 0.831
Ni 0.857 0.381 0.381



Computed, not measured: a relaxed structure of Na2TaNbS4 at the PBE level of DFT.

a b c (Å): 3.405 3.405 14.307
angles (deg): 90.00 90.00 120.00
Element x y z (fractional)
Na 0.000 0.000 0.250
Na 0.000 0.000 0.750
Ta 0.000 0.000 0.000
Nb 0.000 0.000 0.500
S 0.333 0.667 0.391
S 0.333 0.667 0.609
S 0.667 0.333 0.109
S 0.667 0.333 0.891



Computed, not measured: a relaxed structure of HfInFeAg at the PBE level of DFT.

a b c (Å): 4.595 4.595 4.595
angles (deg): 60.00 60.00 60.00
Element x y z (fractional)
Hf 0.000 0.000 0.000
In 0.500 0.500 0.500
Fe 0.750 0.750 0.750
Ag 0.250 0.250 0.250

Computed properties:
- energy relative to the lowest polymorph listed for this composition (meV/atom) = 0.0



Computed, not measured: a relaxed structure of TaAgS3 at the PBE level of DFT.

a b c (Å): 10.316 3.534 12.593
angles (deg): 90.00 90.00 90.00
Element x y z (fractional)
Ta 0.102 0.250 0.124
Ta 0.398 0.750 0.624
Ta 0.602 0.250 0.376
Ta 0.898 0.750 0.876
Ag 0.240 0.750 0.290
Ag 0.260 0.250 0.790
Ag 0.740 0.750 0.210
Ag 0.760 0.250 0.710
S 0.061 0.250 0.302
S 0.071 0.250 0.910
S 0.241 0.250 0.586
S 0.259 0.750 0.086
S 0.429 0.750 0.410
S 0.439 0.750 0.802
S 0.561 0.250 0.198
S 0.571 0.250 0.590
S 0.741 0.250 0.914
S 0.759 0.750 0.414
S 0.929 0.750 0.090
S 0.939 0.750 0.698

Computed properties:
- energy relative to the lowest polymorph listed for this composition (meV/atom) = 0.0



Computed, not measured: a relaxed structure of MgZrFeSn at the PBE level of DFT.

a b c (Å): 4.721 4.721 4.721
angles (deg): 60.00 60.00 60.00
Element x y z (fractional)
Mg 0.000 0.000 0.000
Zr 0.250 0.250 0.250
Fe 0.750 0.750 0.750
Sn 0.500 0.500 0.500

Computed properties:
- energy relative to the lowest polymorph listed for this composition (meV/atom) = 225.1



Computed, not measured: a relaxed structure of Y4InNiC2 at the PBE level of DFT.

a b c (Å): 3.615 3.615 14.837
angles (deg): 90.00 90.00 120.00
Element x y z (fractional)
Y 0.000 0.000 0.133
Y 0.000 0.000 0.867
Y 0.667 0.333 0.316
Y 0.667 0.333 0.684
In 0.000 0.000 0.500
Ni 0.667 0.333 0.000
C 0.333 0.667 0.227
C 0.333 0.667 0.773



Computed, not measured: a relaxed structure of TaBiAsO at the PBE level of DFT.

a b c (Å): 4.010 4.010 9.388
angles (deg): 90.00 90.00 90.00
Element x y z (fractional)
Ta 0.250 0.750 0.000
Ta 0.750 0.250 0.000
Bi 0.250 0.250 0.367
Bi 0.750 0.750 0.633
As 0.250 0.250 0.810
As 0.750 0.750 0.190
O 0.250 0.750 0.500
O 0.750 0.250 0.500

Computed properties:
- energy relative to the lowest polymorph listed for this composition (meV/atom) = 326.9



Computed, not measured: a relaxed structure of NbAgTe2 at the PBE level of DFT.

a b c (Å): 5.053 5.053 5.053
angles (deg): 60.00 60.00 60.00
Element x y z (fractional)
Nb 0.000 0.000 0.000
Ag 0.750 0.750 0.750
Te 0.250 0.250 0.250
Te 0.500 0.500 0.500



Computed, not measured: a relaxed structure of LaTbIn at the PBE level of DFT.

a b c (Å): 5.318 5.318 5.318
angles (deg): 60.00 60.00 60.00
Element x y z (fractional)
La 0.000 0.000 0.000
Tb 0.500 0.500 0.500
In 0.250 0.250 0.250

Computed properties:
- energy relative to the lowest polymorph listed for this composition (meV/atom) = 0.0



Computed, not measured: a relaxed structure of NiBIrPd at the PBE level of DFT.

a b c (Å): 4.047 4.047 4.047
angles (deg): 60.00 60.00 60.00
Element x y z (fractional)
Ni 0.000 0.000 0.000
B 0.500 0.500 0.500
Ir 0.250 0.250 0.250
Pd 0.750 0.750 0.750

Computed properties:
- energy relative to the lowest polymorph listed for this composition (meV/atom) = 0.0



Computed, not measured: a relaxed structure of InCoMoIr at the PBE level of DFT.

a b c (Å): 4.443 4.443 4.443
angles (deg): 60.00 60.00 60.00
Element x y z (fractional)
In 0.000 0.000 0.000
Co 0.250 0.250 0.250
Mo 0.500 0.500 0.500
Ir 0.750 0.750 0.750

Computed properties:
- energy relative to the lowest polymorph listed for this composition (meV/atom) = 0.0



Computed, not measured: a relaxed structure of Sn10IrSe10 at the PBE level of DFT.

a b c (Å): 11.482 11.784 8.573
angles (deg): 90.00 90.00 90.00
Element x y z (fractional)
Sn 0.000 0.000 0.247
Sn 0.000 0.000 0.753
Sn 0.133 0.415 0.261
Sn 0.133 0.415 0.739
Sn 0.137 0.679 0.500
Sn 0.239 0.680 0.000
Sn 0.261 0.180 0.000
Sn 0.363 0.179 0.500
Sn 0.367 0.915 0.261
Sn 0.367 0.915 0.739
Sn 0.500 0.500 0.247
Sn 0.500 0.500 0.753
Sn 0.633 0.085 0.261
Sn 0.633 0.085 0.739
Sn 0.637 0.821 0.500
Sn 0.739 0.820 0.000
Sn 0.761 0.320 0.000
Sn 0.863 0.321 0.500
Sn 0.867 0.585 0.261
Sn 0.867 0.585 0.739
Ir 0.000 0.500 0.500
Ir 0.500 0.000 0.500
Se 0.002 0.330 0.000
Se 0.139 0.904 0.500
Se 0.176 0.184 0.306
Se 0.176 0.184 0.694
Se 0.190 0.945 0.000
Se 0.310 0.445 0.000
Se 0.324 0.684 0.306
Se 0.324 0.684 0.694
Se 0.361 0.404 0.500
Se 0.498 0.830 0.000
Se 0.502 0.170 0.000
Se 0.639 0.596 0.500
Se 0.676 0.316 0.306
Se 0.676 0.316 0.694
Se 0.690 0.555 0.000
Se 0.810 0.055 0.000
Se 0.824 0.816 0.306
Se 0.824 0.816 0.694
Se 0.861 0.096 0.500
Se 0.998 0.670 0.000



Calculated total energy for the records above, in order: -6.4568; -6.3335; -5.9116; -6.0565; -5.4806; -6.8627; -6.8774; -4.2208; -4.2115; -6.2862; -7.2342; -4.2825 eV per atom